Entry from the Alexandria database: a relaxed RbV2Co crystal (PBE-GGA).

Computed properties:
For the total magnetic moment, the calculation gives 2.34 μB/cell.

The structure in extended XYZ format:
```
4
Lattice="-2.286 -3.643 1.557 -4.300 0.463 1.490 -3.463 -1.737 -2.431" Properties=species:S:1:pos:R:3 pbc="T T T"
V -7.536 -3.688 0.462
Co 0.000 0.000 0.000
Rb -5.024 -2.459 0.308
V -2.512 -1.229 0.154
```

Entry from the Alexandria database: a relaxed RbVCo2 crystal (PBE-GGA).

Computed properties:
For the total magnetic moment, the calculation gives 0.37 μB/cell.

The structure in extended XYZ format:
```
4
Lattice="3.824 2.529 0.725 -0.013 3.362 3.201 2.420 -0.524 3.926" Properties=species:S:1:pos:R:3 pbc="T T T"
Co 1.558 1.342 1.963
V 0.000 0.000 0.000
Rb 3.116 2.684 3.926
Co 4.674 4.025 5.889
```

| no. | ΔE to the lowest computed polymorph (meV/atom) | ΔH_f (0 K) (eV/atom) |
| --- | --- | --- |
| 1 | 248 | 1.64 |
| 2 | 229 | 1.50 |